## Cs2GaPb (PBE-GGA)

Data for Cs2GaPb after structural relaxation.

Cell lengths 12.445, 7.351, 4.807 Å; angles 90.00, 112.63, 90.00 degrees
Atoms (fractional coordinates):
Cs (0.183, 0.000, 0.183)
Cs (0.317, 0.500, 0.817)
Cs (0.683, 0.500, 0.183)
Cs (0.817, 0.000, 0.817)
Ga (0.000, 0.672, 0.500)
Ga (0.500, 0.172, 0.500)
Pb (0.000, 0.486, 0.000)
Pb (0.500, 0.986, 0.000)

Values from the calculation:
ΔE_f = -0.29 eV per formula unit
DFT total energy = -2.183 eV per atom
Polymorph energy (0 for the lowest one) = 0.0 meV/atom
DOS(E_F) = 3.3 states/eV per cell

---

## Cs2Ga2Pb (PBE-GGA)

Data for Cs2Ga2Pb after structural relaxation.

Cell lengths 8.224, 8.224, 8.984 Å; angles 105.39, 105.39, 113.64 degrees
Atoms (fractional coordinates):
Cs (0.063, 0.361, 0.274)
Cs (0.361, 0.063, 0.274)
Cs (0.639, 0.937, 0.726)
Cs (0.937, 0.639, 0.726)
Ga (0.201, 0.201, 0.906)
Ga (0.403, 0.403, 0.699)
Ga (0.597, 0.597, 0.301)
Ga (0.799, 0.799, 0.094)
Pb (0.383, 0.617, 0.000)
Pb (0.617, 0.383, 0.000)

Values from the calculation:
ΔE_f = -0.15 eV per formula unit
DFT total energy = -2.324 eV per atom
Polymorph energy (0 for the lowest one) = 0.0 meV/atom
DOS(E_F) = 2.0 states/eV per cell

---

## Cs5Ga4Pb2 (PBE-GGA)

Data for Cs5Ga4Pb2 after structural relaxation.

Cell lengths 7.739, 7.739, 10.862 Å; angles 115.16, 115.16, 56.23 degrees
Atoms (fractional coordinates):
Cs (0.000, 0.000, 0.000)
Cs (0.173, 0.670, 0.632)
Cs (0.330, 0.827, 0.368)
Cs (0.670, 0.173, 0.632)
Cs (0.827, 0.330, 0.368)
Ga (0.293, 0.293, 0.049)
Ga (0.299, 0.299, 0.283)
Ga (0.701, 0.701, 0.717)
Ga (0.707, 0.707, 0.951)
Pb (0.222, 0.222, 0.771)
Pb (0.778, 0.778, 0.229)

Values from the calculation:
ΔE_f = 0.95 eV per formula unit
DFT total energy = -2.077 eV per atom
DOS(E_F) = 5.4 states/eV per cell

---

## CsGa2Pb (PBE-GGA)

Data for CsGa2Pb after structural relaxation.

Cell lengths 5.681, 5.681, 19.879 Å; angles 90.00, 90.00, 90.00 degrees
Atoms (fractional coordinates):
Cs (0.000, 0.250, 0.375)
Cs (0.000, 0.750, 0.625)
Cs (0.500, 0.250, 0.125)
Cs (0.500, 0.750, 0.875)
Ga (0.000, 0.000, 0.000)
Ga (0.000, 0.500, 0.000)
Ga (0.250, 0.250, 0.750)
Ga (0.250, 0.750, 0.250)
Ga (0.500, 0.000, 0.500)
Ga (0.500, 0.500, 0.500)
Ga (0.750, 0.250, 0.750)
Ga (0.750, 0.750, 0.250)
Pb (0.000, 0.250, 0.875)
Pb (0.000, 0.750, 0.125)
Pb (0.500, 0.250, 0.625)
Pb (0.500, 0.750, 0.375)

Values from the calculation:
ΔE_f = 0.36 eV per formula unit
DFT total energy = -2.565 eV per atom
DOS(E_F) = 7.9 states/eV per cell

---

## CsGa3Pb3 (PBE-GGA)

Data for CsGa3Pb3 after structural relaxation.

Cell lengths 7.966, 7.966, 7.966 Å; angles 90.00, 90.00, 90.00 degrees
Atoms (fractional coordinates):
Cs (0.000, 0.000, 0.000)
Cs (0.500, 0.500, 0.500)
Ga (0.000, 0.250, 0.500)
Ga (0.000, 0.750, 0.500)
Ga (0.250, 0.500, 0.000)
Ga (0.500, 0.000, 0.250)
Ga (0.500, 0.000, 0.750)
Ga (0.750, 0.500, 0.000)
Pb (0.000, 0.500, 0.250)
Pb (0.000, 0.500, 0.750)
Pb (0.250, 0.000, 0.500)
Pb (0.500, 0.250, 0.000)
Pb (0.500, 0.750, 0.000)
Pb (0.750, 0.000, 0.500)

Values from the calculation:
ΔE_f = 0.18 eV per formula unit
DFT total energy = -2.982 eV per atom
DOS(E_F) = 10.2 states/eV per cell

---

## Cs2Ga2Pb (PBE-GGA)

Data for Cs2Ga2Pb after structural relaxation.

Cell lengths 3.831, 3.831, 26.200 Å; angles 90.00, 90.00, 90.00 degrees
Atoms (fractional coordinates):
Cs (0.000, 0.000, 0.114)
Cs (0.000, 0.000, 0.886)
Cs (0.500, 0.500, 0.386)
Cs (0.500, 0.500, 0.614)
Ga (0.000, 0.500, 0.250)
Ga (0.000, 0.500, 0.750)
Ga (0.500, 0.000, 0.250)
Ga (0.500, 0.000, 0.750)
Pb (0.000, 0.000, 0.500)
Pb (0.500, 0.500, 0.000)

Values from the calculation:
ΔE_f = 0.36 eV per formula unit
DFT total energy = -2.223 eV per atom
Polymorph energy (0 for the lowest one) = 101.5 meV/atom
DOS(E_F) = 9.4 states/eV per cell

---

## CsGaPb3 (PBE-GGA)

Data for CsGaPb3 after structural relaxation.

Cell lengths 5.772, 5.772, 5.772 Å; angles 90.00, 90.00, 90.00 degrees
Atoms (fractional coordinates):
Cs (0.000, 0.000, 0.000)
Ga (0.500, 0.500, 0.500)
Pb (0.000, 0.500, 0.500)
Pb (0.500, 0.000, 0.500)
Pb (0.500, 0.500, 0.000)

Values from the calculation:
ΔE_f = 0.67 eV per formula unit
DFT total energy = -2.867 eV per atom
Polymorph energy (0 for the lowest one) = 156.1 meV/atom
DOS(E_F) = 4.1 states/eV per cell

---

## Cs2GaPb (PBE-GGA)

Data for Cs2GaPb after structural relaxation.

Cell lengths 9.055, 9.055, 9.055 Å; angles 90.00, 90.00, 90.00 degrees
Atoms (fractional coordinates):
Cs (0.250, 0.250, 0.250)
Cs (0.250, 0.250, 0.750)
Cs (0.250, 0.750, 0.250)
Cs (0.250, 0.750, 0.750)
Cs (0.750, 0.250, 0.250)
Cs (0.750, 0.250, 0.750)
Cs (0.750, 0.750, 0.250)
Cs (0.750, 0.750, 0.750)
Ga (0.000, 0.000, 0.000)
Ga (0.000, 0.500, 0.500)
Ga (0.500, 0.000, 0.500)
Ga (0.500, 0.500, 0.000)
Pb (0.000, 0.000, 0.500)
Pb (0.000, 0.500, 0.000)
Pb (0.500, 0.000, 0.000)
Pb (0.500, 0.500, 0.500)

Values from the calculation:
ΔE_f = 0.97 eV per formula unit
DFT total energy = -1.869 eV per atom
Polymorph energy (0 for the lowest one) = 314.7 meV/atom
DOS(E_F) = 15.5 states/eV per cell

---

## CsGaPb2 (PBE-GGA)

Data for CsGaPb2 after structural relaxation.

Cell lengths 4.749, 4.749, 24.225 Å; angles 90.00, 90.00, 120.00 degrees
Atoms (fractional coordinates):
Cs (0.000, 0.000, 0.000)
Cs (0.333, 0.667, 0.667)
Cs (0.667, 0.333, 0.333)
Ga (0.000, 0.000, 0.178)
Ga (0.333, 0.667, 0.844)
Ga (0.667, 0.333, 0.511)
Pb (0.000, 0.000, 0.554)
Pb (0.000, 0.000, 0.794)
Pb (0.333, 0.667, 0.221)
Pb (0.333, 0.667, 0.461)
Pb (0.667, 0.333, 0.127)
Pb (0.667, 0.333, 0.887)

Values from the calculation:
ΔE_f = -0.09 eV per formula unit
DFT total energy = -2.847 eV per atom
DOS(E_F) = 2.7 states/eV per cell

---

## Cs3Ga2Pb5 (PBE-GGA)

Data for Cs3Ga2Pb5 after structural relaxation.

Cell lengths 11.012, 11.012, 11.012 Å; angles 112.51, 82.37, 138.58 degrees
Atoms (fractional coordinates):
Cs (0.132, 0.746, 0.878)
Cs (0.250, 0.250, 0.000)
Cs (0.368, 0.246, 0.614)
Cs (0.632, 0.754, 0.386)
Cs (0.750, 0.750, 0.000)
Cs (0.868, 0.254, 0.122)
Ga (0.163, 0.119, 0.282)
Ga (0.337, 0.619, 0.956)
Ga (0.663, 0.381, 0.044)
Ga (0.837, 0.881, 0.718)
Pb (0.009, 0.750, 0.259)
Pb (0.120, 0.353, 0.472)
Pb (0.250, 0.750, 0.500)
Pb (0.380, 0.853, 0.233)
Pb (0.491, 0.750, 0.741)
Pb (0.509, 0.250, 0.259)
Pb (0.620, 0.147, 0.767)
Pb (0.750, 0.250, 0.500)
Pb (0.880, 0.647, 0.528)
Pb (0.991, 0.250, 0.741)

Values from the calculation:
ΔE_f = -0.50 eV per formula unit
DFT total energy = -2.766 eV per atom
DOS(E_F) = 8.2 states/eV per cell

---

## CsGaPb4 (PBE-GGA)

Data for CsGaPb4 after structural relaxation.

Cell lengths 6.722, 6.722, 6.722 Å; angles 60.00, 60.00, 60.00 degrees
Atoms (fractional coordinates):
Cs (0.000, 0.000, 0.000)
Ga (0.750, 0.750, 0.750)
Pb (0.375, 0.375, 0.375)
Pb (0.375, 0.375, 0.874)
Pb (0.375, 0.874, 0.375)
Pb (0.874, 0.375, 0.375)

Values from the calculation:
ΔE_f = 0.78 eV per formula unit
DFT total energy = -2.989 eV per atom
Polymorph energy (0 for the lowest one) = 148.5 meV/atom
DOS(E_F) = 10.0 states/eV per cell

---

## CsGaPb2 (PBE-GGA)

Data for CsGaPb2 after structural relaxation.

Cell lengths 3.962, 3.962, 8.726 Å; angles 90.00, 90.00, 90.00 degrees
Atoms (fractional coordinates):
Cs (0.000, 0.000, 0.000)
Ga (0.000, 0.000, 0.500)
Pb (0.500, 0.500, 0.325)
Pb (0.500, 0.500, 0.675)

Values from the calculation:
ΔE_f = -0.21 eV per formula unit
DFT total energy = -2.878 eV per atom
DOS(E_F) = 1.7 states/eV per cell

---

Look up the ΔE_f of the sixth one.
0.36 eV per formula unit